Record 1
Density functional theory data (PBE) for a relaxed structure of CeSnN.

Lattice parameters (Å, degrees): 4.0357 4.0357 8.1075 90.00 90.00 90.00
Sites, in units of the cell vectors:
Ce (0.2500, 0.2500, 0.1327)
Ce (0.7500, 0.7500, 0.8673)
Sn (0.2500, 0.2500, 0.5774)
Sn (0.7500, 0.7500, 0.4226)
N (0.2500, 0.7500, 0.0000)
N (0.7500, 0.2500, 0.0000)

Its offset from the most stable computed form is 0 meV per atom. As for the final energy: -42.9 eV/cell. The calculation puts the total moment at 0.0 μB/f.u. The formation energy (no corrections) comes out at -1.067 eV/atom. The space-group type is P4/nmm (129).

***

Record 2
Density functional theory data (PBE) for a relaxed structure of TlSn3.

Lattice parameters (Å, degrees): 4.8601 4.8601 4.8601 90.00 90.00 90.00
Sites, in units of the cell vectors:
Tl (0.0000, 0.0000, 0.0000)
Sn (0.0000, 0.5000, 0.5000)
Sn (0.5000, 0.0000, 0.5000)
Sn (0.5000, 0.5000, 0.0000)

Its offset from the most stable computed form is 34 meV per atom. As for the final energy: -14.1 eV/cell. The calculation puts the total moment at 0.0 μB/f.u. The calculation puts the formation energy at 0.0649 eV/atom. The space-group type is Pm-3m (221).

***

Record 3
Density functional theory data (PBE) for a relaxed structure of Pm6Ag3Hg.

Lattice parameters (Å, degrees): 9.4088 5.1122 12.2953 90.00 105.44 90.00
Sites, in units of the cell vectors:
Pm (0.0226, 0.2500, 0.1097)
Pm (0.1498, 0.2500, 0.7190)
Pm (0.2039, 0.7500, 0.5169)
Pm (0.3565, 0.7500, 0.1143)
Pm (0.3786, 0.2500, 0.3603)
Pm (0.3796, 0.7500, 0.8461)
Pm (0.6204, 0.2500, 0.1539)
Pm (0.6214, 0.7500, 0.6397)
Pm (0.6435, 0.2500, 0.8857)
Pm (0.7961, 0.2500, 0.4831)
Pm (0.8502, 0.7500, 0.2810)
Pm (0.9774, 0.7500, 0.8903)
Ag (0.0472, 0.2500, 0.3627)
Ag (0.1633, 0.7500, 0.2660)
Ag (0.2754, 0.2500, 0.9737)
Ag (0.7246, 0.7500, 0.0263)
Ag (0.8367, 0.2500, 0.7340)
Ag (0.9528, 0.7500, 0.6373)
Hg (0.4293, 0.2500, 0.6361)
Hg (0.5707, 0.7500, 0.3639)

As for the final energy: -79.0 eV/cell. The calculation puts the total moment at 0.0 μB/f.u. The calculation puts the formation energy at -0.2144 eV/atom. The space-group type is P2_1/m (11).

***

Record 4
Density functional theory data (PBE) for a relaxed structure of Tm2Ga3Cu.

Lattice parameters (Å, degrees): 8.6785 8.3171 5.6055 74.27 67.29 38.44
Sites, in units of the cell vectors:
Tm (0.2454, 0.7546, 0.7546)
Tm (0.2500, 0.2500, 0.2500)
Tm (0.7500, 0.7500, 0.7500)
Tm (0.7546, 0.2454, 0.2454)
Ga (0.1614, 0.6691, 0.3309)
Ga (0.3310, 0.3310, 0.6690)
Ga (0.3309, 0.8386, 0.1614)
Ga (0.6691, 0.1614, 0.8386)
Ga (0.6690, 0.6690, 0.3310)
Ga (0.8386, 0.3309, 0.6691)
Cu (0.1676, 0.1676, 0.8324)
Cu (0.8324, 0.8324, 0.1676)

Its offset from the most stable computed form is 8 meV per atom. As for the final energy: -51.2 eV/cell. The calculation puts the total moment at 0.0 μB/f.u. The calculation puts the formation energy at -0.5804 eV/atom. The space-group type is Fmmm (69).

***

Record 5
Density functional theory data (PBE) for a relaxed structure of Cs2NbTlI6.

Lattice parameters (Å, degrees): 8.6163 12.4494 9.0793 90.00 90.00 90.00
Sites, in units of the cell vectors:
Cs (0.2500, 0.0152, 0.2233)
Cs (0.2500, 0.4848, 0.2233)
Cs (0.7500, 0.5152, 0.7767)
Cs (0.7500, 0.9848, 0.7767)
Nb (0.2500, 0.7500, 0.7741)
Nb (0.7500, 0.2500, 0.2259)
Tl (0.2500, 0.2500, 0.7216)
Tl (0.7500, 0.7500, 0.2784)
I (0.0137, 0.7500, 0.5518)
I (0.0163, 0.7500, 0.9996)
I (0.2500, 0.5195, 0.7749)
I (0.2500, 0.9805, 0.7749)
I (0.4837, 0.7500, 0.9996)
I (0.4863, 0.7500, 0.5518)
I (0.5137, 0.2500, 0.4482)
I (0.5163, 0.2500, 0.0004)
I (0.7500, 0.0195, 0.2251)
I (0.7500, 0.4805, 0.2251)
I (0.9837, 0.2500, 0.0004)
I (0.9863, 0.2500, 0.4482)

As for the final energy: -64.6 eV/cell. The calculation puts the total moment at 2.0 μB/f.u. The formation energy (no corrections) comes out at -0.886 eV/atom. The space-group type is Pmmn (59).

***

Record 6
Density functional theory data (PBE) for a relaxed structure of Ga2HgBi.

Lattice parameters (Å, degrees): 6.8286 3.2900 8.9291 90.00 94.56 90.00
Sites, in units of the cell vectors:
Ga (0.0996, 0.2500, 0.1187)
Ga (0.3434, 0.7500, 0.9520)
Ga (0.6566, 0.2500, 0.0480)
Ga (0.9004, 0.7500, 0.8813)
Hg (0.3884, 0.7500, 0.3256)
Hg (0.6116, 0.2500, 0.6744)
Bi (0.1650, 0.7500, 0.6381)
Bi (0.8350, 0.2500, 0.3619)

Its offset from the most stable computed form is 11 meV per atom. As for the final energy: -20.0 eV/cell. The calculation puts the total moment at 0.0 μB/f.u. The calculation puts the formation energy at 0.0649 eV/atom. The space-group type is P2_1/m (11).

***

Record 7
Density functional theory data (PBE) for a relaxed structure of Rb2Ag3Cl5.

Lattice parameters (Å, degrees): 7.7919 7.7919 9.3911 111.87 111.87 32.23
Sites, in units of the cell vectors:
Rb (0.1711, 0.1711, 0.2092)
Rb (0.8289, 0.8289, 0.7908)
Ag (0.0000, 0.0000, 0.5000)
Ag (0.4390, 0.4390, 0.2339)
Ag (0.5610, 0.5610, 0.7661)
Cl (0.1655, 0.1655, 0.8231)
Cl (0.3883, 0.3883, 0.5466)
Cl (0.5000, 0.5000, 0.0000)
Cl (0.6117, 0.6117, 0.4534)
Cl (0.8345, 0.8345, 0.1769)

Its offset from the most stable computed form is 0 meV per atom. As for the final energy: -30.2 eV/cell. The calculation puts the total moment at 0.0 μB/f.u. The formation energy (no corrections) comes out at -1.044 eV/atom. The space-group type is C2/m (12).

***

Record 8
Density functional theory data (PBE) for a relaxed structure of LiMnCo2.

Lattice parameters (Å, degrees): 3.4961 3.4961 3.8584 90.00 90.00 90.00
Sites, in units of the cell vectors:
Li (0.0000, 0.0000, 0.0000)
Mn (0.5000, 0.5000, 0.0000)
Co (0.0000, 0.5000, 0.5000)
Co (0.5000, 0.0000, 0.5000)

Its offset from the most stable computed form is 66 meV per atom. As for the final energy: -24.4 eV/cell. The calculation puts the total moment at 6.6 μB/f.u. The calculation puts the formation energy at 0.2126 eV/atom. The space-group type is P4/mmm (123).

***

Record 9
Density functional theory data (PBE) for a relaxed structure of YAlFe.

Lattice parameters (Å, degrees): 5.7399 5.7399 5.7399 147.78 147.78 46.21
Sites, in units of the cell vectors:
Y (0.0000, 0.0000, 0.0000)
Al (0.7201, 0.7201, 0.0000)
Fe (0.3236, 0.3236, 0.0000)

As for the final energy: -19.0 eV/cell. The calculation puts the total moment at 0.0 μB/f.u. The calculation puts the formation energy at -0.1091 eV/atom. The space-group type is I4mm (107).

***

Record 10
Density functional theory data (PBE) for a relaxed structure of CuNiPt6.

Lattice parameters (Å, degrees): 3.8894 3.8894 7.7956 90.00 90.00 90.00
Sites, in units of the cell vectors:
Cu (0.0000, 0.0000, 0.0000)
Ni (0.0000, 0.0000, 0.5000)
Pt (0.0000, 0.5000, 0.2513)
Pt (0.0000, 0.5000, 0.7487)
Pt (0.5000, 0.0000, 0.2513)
Pt (0.5000, 0.0000, 0.7487)
Pt (0.5000, 0.5000, 0.0000)
Pt (0.5000, 0.5000, 0.5000)

Its offset from the most stable computed form is 0 meV per atom. As for the final energy: -46.9 eV/cell. The calculation puts the total moment at 0.6 μB/f.u. The calculation puts the formation energy at -0.0937 eV/atom. The space-group type is P4/mmm (123).

***

Record 11
Density functional theory data (PBE) for a relaxed structure of Zr2PRu2.

Lattice parameters (Å, degrees): 6.0835 6.0835 4.6329 90.00 90.00 90.00
Sites, in units of the cell vectors:
Zr (0.1765, 0.3235, 0.0000)
Zr (0.3235, 0.8235, 0.0000)
Zr (0.6765, 0.1765, 0.0000)
Zr (0.8235, 0.6765, 0.0000)
P (0.0000, 0.0000, 0.5000)
P (0.5000, 0.5000, 0.5000)
Ru (0.1494, 0.6494, 0.5000)
Ru (0.3506, 0.1494, 0.5000)
Ru (0.6494, 0.8506, 0.5000)
Ru (0.8506, 0.3506, 0.5000)

As for the final energy: -87.6 eV/cell. The calculation puts the total moment at 0.0 μB/f.u. The calculation puts the formation energy at -0.5453 eV/atom. The space-group type is P4/mbm (127).

***

Record 12
Density functional theory data (PBE) for a relaxed structure of ReAgAs2W.

Lattice parameters (Å, degrees): 4.7913 4.7913 5.2155 90.00 90.00 90.00
Sites, in units of the cell vectors:
Re (0.0000, 0.0000, 0.0000)
Ag (0.5000, 0.5000, 0.0000)
As (0.0000, 0.5000, 0.5000)
As (0.5000, 0.0000, 0.5000)
W (0.5000, 0.5000, 0.5000)

Its offset from the most stable computed form is 0 meV per atom. As for the final energy: -29.2 eV/cell. The calculation puts the total moment at 4.6 μB/f.u. The calculation puts the formation energy at 1.6643 eV/atom. The space-group type is P4/mmm (123).

***

Record 13
Density functional theory data (PBE) for a relaxed structure of CrTc2Br.

Lattice parameters (Å, degrees): 5.0166 5.0166 5.0166 135.80 135.80 64.28
Sites, in units of the cell vectors:
Cr (0.0000, 0.0000, 0.0000)
Tc (0.2500, 0.7500, 0.5000)
Tc (0.5000, 0.5000, 0.0000)
Br (0.7500, 0.2500, 0.5000)

Its offset from the most stable computed form is 544 meV per atom. As for the final energy: -28.0 eV/cell. The calculation puts the total moment at 1.5 μB/f.u. The formation energy (no corrections) comes out at 1.011 eV/atom. The space-group type is I-4m2 (119).

***

Record 14
Density functional theory data (PBE) for a relaxed structure of AlPdSe3.

Lattice parameters (Å, degrees): 4.8413 4.8413 4.8413 90.00 90.00 90.00
Sites, in units of the cell vectors:
Al (0.0000, 0.0000, 0.0000)
Pd (0.5000, 0.5000, 0.5000)
Se (0.0000, 0.0000, 0.5000)
Se (0.0000, 0.5000, 0.0000)
Se (0.5000, 0.0000, 0.0000)

Its offset from the most stable computed form is 0 meV per atom. As for the final energy: -17.8 eV/cell. The calculation puts the total moment at 0.0 μB/f.u. The formation energy (no corrections) comes out at 0.325 eV/atom. The space-group type is Pm-3m (221).

***

Record 15
Density functional theory data (PBE) for a relaxed structure of Pa2Te5Pd4.

Lattice parameters (Å, degrees): 11.9446 11.9446 6.2037 101.43 101.43 20.00
Sites, in units of the cell vectors:
Pa (0.1030, 0.1030, 0.0977)
Pa (0.8970, 0.8970, 0.9023)
Te (0.1109, 0.1109, 0.5942)
Te (0.2309, 0.2309, 0.2196)
Te (0.5000, 0.5000, 0.0000)
Te (0.7691, 0.7691, 0.7804)
Te (0.8891, 0.8891, 0.4058)
Pd (0.0010, 0.0010, 0.2884)
Pd (0.3278, 0.3278, 0.6114)
Pd (0.6722, 0.6722, 0.3886)
Pd (0.9990, 0.9990, 0.7116)

As for the final energy: -60.6 eV/cell. The calculation puts the total moment at 0.0 μB/f.u. The formation energy (no corrections) comes out at -0.468 eV/atom. The space-group type is C2/m (12).

***

Record 16
Density functional theory data (PBE) for a relaxed structure of TaInSb.

Lattice parameters (Å, degrees): 5.4466 5.4466 5.4466 141.06 141.06 56.24
Sites, in units of the cell vectors:
Ta (0.0000, 0.0000, 0.0000)
In (0.6734, 0.6734, 0.0000)
Sb (0.3565, 0.3565, 0.0000)

Its offset from the most stable computed form is 0 meV per atom. As for the final energy: -18.3 eV/cell. The calculation puts the total moment at 0.0 μB/f.u. The formation energy (no corrections) comes out at 0.125 eV/atom. The space-group type is I4mm (107).

***

Record 17
Density functional theory data (PBE) for a relaxed structure of InNiSe2.

Lattice parameters (Å, degrees): 8.7012 8.7012 8.7012 23.48 23.48 23.48
Sites, in units of the cell vectors:
In (0.0000, 0.0000, 0.0000)
Ni (0.5000, 0.5000, 0.5000)
Se (0.1170, 0.1170, 0.1170)
Se (0.8830, 0.8830, 0.8830)

As for the final energy: -16.4 eV/cell. The calculation puts the total moment at 0.0 μB/f.u. The formation energy (no corrections) comes out at -0.216 eV/atom. The space-group type is R-3m (166).

***

Record 18
Density functional theory data (PBE) for a relaxed structure of Ho5InRu2.

Lattice parameters (Å, degrees): 8.6953 8.6953 8.6953 127.43 127.43 77.56
Sites, in units of the cell vectors:
Ho (0.0000, 0.0000, 0.0000)
Ho (0.0271, 0.5271, 0.8183)
Ho (0.2087, 0.0271, 0.5000)
Ho (0.2913, 0.7913, 0.8183)
Ho (0.4729, 0.2913, 0.5000)
Ho (0.5000, 0.5000, 0.0000)
Ho (0.5271, 0.7087, 0.5000)
Ho (0.7087, 0.2087, 0.1817)
Ho (0.7913, 0.9729, 0.5000)
Ho (0.9729, 0.4729, 0.1817)
In (0.2500, 0.2500, 0.0000)
In (0.7500, 0.7500, 0.0000)
Ru (0.1424, 0.3576, 0.5000)
Ru (0.3576, 0.8576, 0.2151)
Ru (0.6424, 0.1424, 0.7849)
Ru (0.8576, 0.6424, 0.5000)

As for the final energy: -95.0 eV/cell. The calculation puts the total moment at 0.0 μB/f.u. The calculation puts the formation energy at -0.4172 eV/atom. The space-group type is I4/mcm (140).

***

Record 19
Density functional theory data (PBE) for a relaxed structure of PuBr4N2.

Lattice parameters (Å, degrees): 9.1607 9.1607 4.8741 105.13 105.13 30.84
Sites, in units of the cell vectors:
Pu (0.0000, 0.0000, 0.0000)
Br (0.0988, 0.0988, 0.5970)
Br (0.4012, 0.4012, 0.9028)
Br (0.5988, 0.5988, 0.0972)
Br (0.9012, 0.9012, 0.4030)
N (0.2479, 0.2479, 0.2480)
N (0.7521, 0.7521, 0.7520)

As for the final energy: -33.2 eV/cell. The calculation puts the total moment at 10.0 μB/f.u. The formation energy (no corrections) comes out at 0.639 eV/atom. The space-group type is C2/m (12).

***

Record 20
Density functional theory data (PBE) for a relaxed structure of SmCo4Ir.

Lattice parameters (Å, degrees): 4.9405 4.9405 4.9405 60.00 60.00 60.00
Sites, in units of the cell vectors:
Sm (0.0000, 0.0000, 0.0000)
Co (0.3756, 0.3756, 0.3756)
Co (0.3756, 0.3756, 0.8733)
Co (0.3756, 0.8733, 0.3756)
Co (0.8733, 0.3756, 0.3756)
Ir (0.7500, 0.7500, 0.7500)

As for the final energy: -42.1 eV/cell. The calculation puts the total moment at 7.0 μB/f.u. The calculation puts the formation energy at -0.0207 eV/atom. The space-group type is F-43m (216).